(1)
NaCa2Ga3Pt4 | PBE | relaxed

As for the calculated volume: 196.0 Å³/cell. As for the formation energy: -0.749 eV per atom.

The structure belongs to space group P-4m2 (No. 115); the cell edges are 4.148, 4.148 and 11.390 Å and the angles 90.00°, 90.00° and 90.00°. Symmetry generates all atoms from Na at (0.000, 0.000, 0.000), Ca at (0.000, 0.500, 0.747), Ga at (0.000, 0.500, 0.371), Ga at (0.500, 0.500, 0.000), Pt at (0.000, 0.000, 0.500), Pt at (0.000, 0.500, 0.154) and Pt at (0.500, 0.500, 0.500).

(2)
GdHfTlCd | PBE | relaxed

As for the calculated volume: 391.3 Å³/cell. As for the formation energy: -0.044 eV per atom.

The structure belongs to space group F-43m (No. 216); the cell edges are 7.314, 7.314 and 7.314 Å and the angles 90.00°, 90.00° and 90.00°. Symmetry generates all atoms from Gd at (0.000, 0.000, 0.000), Hf at (0.000, 0.000, 0.500), Tl at (0.250, 0.250, 0.250) and Cd at (0.250, 0.250, 0.750).